Below is CsNaMg2Pt after structural relaxation, with properties calculated at the PBE-GGA level.

POSCAR file:
```
CsNaMg2Pt
1.0
5.2260 0.0000 0.0000
0.0000 5.2260 0.0000
0.0000 0.0000 5.8603
Cs Na Mg Pt
1 1 2 1
direct
0.5000 0.5000 0.5000
0.0000 0.0000 0.5000
0.0000 0.5000 0.0000
0.5000 0.0000 0.0000
0.0000 0.0000 0.0000
```

crystal system = tetragonal
formation energy from the elements = -0.88 eV/f.u.
V = 32.0 Å³ per atom
density = 4.15 Mg/m³
space-group type = P4/mmm, No. 123